Entry 1:
The following is a PBE-GGA calculation of a geometry-optimized CsTcRuS3 structure, from Alexandria.

a b c (Å): 8.460 3.773 9.473
angles (deg): 90.00 114.96 90.00
Space group P2_1/m (No. 11)
Asymmetric unit:
Cs  0.003  0.250  0.260
Tc  0.453  0.250  0.156
Ru  0.472  0.750  0.384
S  0.264  0.750  0.133
S  0.356  0.750  0.571
S  0.368  0.250  0.875

Values from the calculation:
Volume, Å³/atom: 22.84

=====

Entry 2:
The following is a PBE-GGA calculation of a geometry-optimized NaLaO3 structure, from Alexandria.

a b c (Å): 4.365 4.365 4.365
angles (deg): 90.00 90.00 90.00
Space group Pm-3m (No. 221)
Asymmetric unit:
Na  0.000  0.000  0.000
La  0.500  0.500  0.500
O  0.000  0.500  0.500

Values from the calculation:
Volume, Å³/atom: 16.63

=====

Entry 3:
The following is a PBE-GGA calculation of a geometry-optimized AlCu2Te structure, from Alexandria.

a b c (Å): 4.0845 4.0845 15.1020
angles (deg): 90.00 90.00 120.00
Space group R3m (No. 160, hexagonal axes)
Asymmetric unit:
Al  0.0000  0.0000  0.0000
Cu  0.0000  0.0000  0.2759
Cu  0.0000  0.0000  0.5678
Te  0.0000  0.0000  0.7945

Values from the calculation:
Excess energy over the best structure of this formula in the dataset, meV/atom: 36
Volume, Å³/atom: 18.18

=====

Entry 4:
The following is a PBE-GGA calculation of a geometry-optimized RbHoAgF5 structure, from Alexandria.

a b c (Å): 7.269 11.125 8.365
angles (deg): 90.00 106.35 90.00
Space group C2/c (No. 15)
Asymmetric unit:
Rb  0.000  0.164  0.250
Ho  0.000  0.500  0.000
Ag  0.000  0.173  0.750
F  0.000  0.439  0.250
F  0.092  0.320  0.584
F  0.199  0.047  0.947

Values from the calculation:
Volume, Å³/atom: 20.28

=====

Entry 5:
The following is a PBE-GGA calculation of a geometry-optimized Ho2NpZn2Rh5 structure, from Alexandria.

a b c (Å): 9.763 9.763 3.681
angles (deg): 90.00 90.00 90.00
Space group P4/mbm (No. 127)
Asymmetric unit:
Ho  0.169  0.331  0.000
Np  0.000  0.000  0.000
Zn  0.126  0.626  0.000
Rh  0.000  0.500  0.500
Rh  0.069  0.799  0.500

Values from the calculation:
E_form, eV/atom: -0.627
Volume, Å³/atom: 17.54

=====

Entry 6:
The following is a PBE-GGA calculation of a geometry-optimized Y4ErTe5 structure, from Alexandria.

a b c (Å): 4.289 4.289 31.997
angles (deg): 90.00 90.00 90.00
Space group I4/mmm (No. 139)
Asymmetric unit:
Y  0.000  0.000  0.110
Y  0.000  0.000  0.312
Er  0.000  0.000  0.500
Te  0.000  0.000  0.000
Te  0.000  0.000  0.208
Te  0.000  0.000  0.407

Values from the calculation:
Excess energy over the best structure of this formula in the dataset, meV/atom: 0
Volume, Å³/atom: 29.42

=====

| no. | calculated total energy (eV per atom) | total magnetic moment (μB/f.u.) |
| --- | --- | --- |
| 1 | -6.0932 | 0.36 |
| 2 | -5.8438 | 0.00 |
| 3 | -3.6818 | 0.00 |
| 4 | -5.2235 | 0.02 |
| 5 | -6.7667 | 2.46 |
| 6 | -5.9078 | 0.00 |